Record 1
NaS2I: relaxed, GGA-PBE.

The structure in POSCAR format:
```
NaS2I
1.0
0.000 3.569 3.569
3.569 0.000 3.569
3.569 3.569 0.000
S I Na
2 1 1
Direct
0.750 0.750 0.750 S
0.250 0.250 0.250 S
0.500 0.500 0.500 I
0.000 0.000 0.000 Na
```

Summary:
energy: -2.424 eV per atom
energy relative to the lowest polymorph listed for this composition: 0.333 eV/atom
space group: No. 225
uncorrected formation energy: 0.3572 eV/atom

Record 2
Na12S5I3: relaxed, GGA-PBE.

The structure in POSCAR format:
```
Na12S5I3
1.0
-4.268 12.773 6.644
7.069 -8.714 9.980
9.290 3.135 -11.374
Na I S
48 12 20
Direct
0.676 0.480 0.588 Na
0.324 0.520 0.412 Na
0.020 0.608 0.696 Na
0.912 0.088 0.608 Na
0.892 0.588 0.912 Na
0.088 0.912 0.108 Na
0.912 0.824 0.804 Na
0.480 0.804 0.892 Na
0.892 0.304 0.480 Na
0.196 0.676 0.088 Na
0.088 0.176 0.480 Na
0.196 0.520 0.608 Na
0.696 0.108 0.020 Na
0.608 0.020 0.196 Na
0.176 0.088 0.980 Na
0.520 0.196 0.108 Na
0.392 0.980 0.804 Na
0.392 0.412 0.088 Na
0.804 0.324 0.912 Na
0.676 0.196 0.588 Na
0.108 0.412 0.088 Na
0.020 0.412 0.824 Na
0.804 0.480 0.392 Na
0.588 0.892 0.412 Na
0.588 0.608 0.412 Na
0.824 0.912 0.304 Na
0.980 0.392 0.304 Na
0.108 0.696 0.520 Na
0.520 0.324 0.912 Na
0.696 0.588 0.176 Na
0.980 0.588 0.176 Na
0.412 0.392 0.588 Na
0.412 0.020 0.324 Na
0.608 0.588 0.912 Na
0.912 0.824 0.520 Na
0.480 0.676 0.088 Na
0.176 0.088 0.696 Na
0.088 0.912 0.392 Na
0.088 0.176 0.196 Na
0.304 0.412 0.824 Na
0.588 0.980 0.676 Na
0.324 0.804 0.412 Na
0.912 0.088 0.892 Na
0.588 0.696 0.676 Na
0.824 0.912 0.020 Na
0.412 0.304 0.324 Na
0.304 0.892 0.980 Na
0.412 0.108 0.588 Na
0.125 0.250 0.875 I
0.375 0.625 0.250 I
0.625 0.250 0.375 I
0.375 0.750 0.625 I
0.625 0.375 0.750 I
0.875 0.750 0.125 I
0.875 0.125 0.250 I
0.125 0.875 0.750 I
0.250 0.125 0.375 I
0.250 0.625 0.875 I
0.750 0.875 0.625 I
0.750 0.375 0.125 I
0.500 0.500 0.000 S
0.000 0.000 0.000 S
0.875 0.625 0.750 S
0.375 0.250 0.125 S
0.500 0.000 0.500 S
0.875 0.250 0.625 S
0.500 0.000 0.000 S
0.375 0.125 0.750 S
0.750 0.625 0.375 S
0.000 0.500 0.000 S
0.625 0.750 0.875 S
0.000 0.000 0.500 S
0.000 0.500 0.500 S
0.750 0.125 0.875 S
0.125 0.750 0.375 S
0.250 0.875 0.125 S
0.125 0.375 0.250 S
0.625 0.875 0.250 S
0.500 0.500 0.500 S
0.250 0.375 0.625 S
```

Summary:
energy: -2.996 eV per atom
space group: No. 230
uncorrected formation energy: -0.9402 eV/atom

> The highest energy belongs to which entry?

NaS2I